(1)
A relaxed structure of MgFePb. Source: Alexandria, functional PBEsol.

Unit cell a=4.5496 b=4.5496 c=4.5496 alpha=60.00 beta=60.00 gamma=60.00
Each line ends with the local moment (μB).
Element x y z (fractional)
Pb: 0.7500 0.7500 0.7500  -0.04
Fe: 0.0000 0.0000 0.0000  2.78
Mg: 0.5000 0.5000 0.5000  0.00

Results
Its space group is F-43m. As for the calculated volume: 22.20 A^3/atom. The calculation puts the total energy at -4.250 eV per atom. For the calculated formation energy, the calculation gives 62 kJ per mole of atoms.

=====

(2)
A relaxed structure of Mg3FePb. Source: Alexandria, functional PBEsol.

Unit cell a=5.3198 b=5.3198 c=5.3198 alpha=90.00 beta=90.00 gamma=90.00
Each line ends with the local moment (μB).
Element x y z (fractional)
Pb: 0.0000 0.0000 0.0000  0.00
Mg: 0.5000 0.0000 0.0000  -0.01
Mg: 0.0000 0.0000 0.5000  -0.01
Mg: 0.0000 0.5000 0.0000  -0.01
Fe: 0.5000 0.5000 0.5000  3.22

Results
Its space group is Pm-3m. As for the calculated volume: 30.11 A^3/atom. The calculation puts the total energy at -2.567 eV per atom. For the calculated formation energy, the calculation gives 102 kJ per mole of atoms.